Record 1
## Dy2Te2O (PBE)

Data for an optimized crystal structure of Dy2Te2O.

CIF file:
```
data_Dy2Te2O
_chemical_formula_sum 'Dy8 Te8 O4'
_cell_length_a 7.237
_cell_length_b 11.738
_cell_length_c 5.948
_cell_angle_alpha 90.00
_cell_angle_beta 90.00
_cell_angle_gamma 90.00
_space_group_name_H-M_alt 'I b a m'
_space_group_IT_number 72
_space_group_name_Hall '-I 2 2c'
loop_
_atom_site_label
_atom_site_type_symbol
_atom_site_fract_x
_atom_site_fract_y
_atom_site_fract_z
Dy1 Dy 0.191 0.092 0.000
Te1 Te 0.140 0.355 0.000
O1 O 0.000 0.000 0.250
```

## Properties
raw formation energy = -2.0948 eV/atom
energy = -6.184 eV per atom
total magnetic moment = 0.000 μB/f.u.
polymorph energy (0 for the lowest one) = 6.6 meV/atom
crystal system = orthorhombic

Record 2
## Li2TlRu (PBE)

Data for an optimized crystal structure of Li2TlRu.

CIF file:
```
data_Li2TlRu
_chemical_formula_sum 'Li2 Tl1 Ru1'
_cell_length_a 2.980
_cell_length_b 4.663
_cell_length_c 4.822
_cell_angle_alpha 90.00
_cell_angle_beta 93.07
_cell_angle_gamma 90.00
_space_group_name_H-M_alt 'P 1 2/m 1'
_space_group_IT_number 10
loop_
_space_group_symop_operation_xyz
'x,y,z'
'-x,-y,-z'
'-x,y,-z'
'x,-y,z'
loop_
_atom_site_label
_atom_site_type_symbol
_atom_site_fract_x
_atom_site_fract_y
_atom_site_fract_z
Li1 Li 0.245 0.000 0.215
Tl1 Tl 0.000 0.500 0.500
Ru1 Ru 0.500 0.500 0.000
```

## Properties
ΔE_f = 15.7 kJ/mol of atoms
energy = -3.705 eV per atom
total magnetic moment = 0.252 μB/f.u.
crystal system = monoclinic

Record 3
## MnCoAg2 (PBE)

Data for an optimized crystal structure of MnCoAg2.

CIF file:
```
data_MnCoAg2
_chemical_formula_sum 'Mn3 Co3 Ag6'
_cell_length_a 2.8201
_cell_length_b 2.8201
_cell_length_c 26.6261
_cell_angle_alpha 90.00
_cell_angle_beta 90.00
_cell_angle_gamma 120.00
_space_group_name_H-M_alt 'R 3 m'
_space_group_IT_number 160
_space_group_name_Hall 'R 3 -2"'
loop_
_atom_site_label
_atom_site_type_symbol
_atom_site_fract_x
_atom_site_fract_y
_atom_site_fract_z
Mn1 Mn 0.0000 0.0000 0.0000
Co1 Co 0.0000 0.0000 0.2659
Ag1 Ag 0.0000 0.0000 0.5146
Ag2 Ag 0.0000 0.0000 0.7538
```

## Properties
ΔE_f = 27.0 kJ/mol of atoms
energy = -5.214 eV per atom
total magnetic moment = 4.834 μB/f.u.
polymorph energy (0 for the lowest one) = 40.5 meV/atom
crystal system = trigonal

Record 4
## Rb12In3Ag5 (PBE)

Data for an optimized crystal structure of Rb12In3Ag5.

CIF file:
```
data_Rb12In3Ag5
_chemical_formula_sum 'Rb96 In24 Ag40'
_cell_length_a 21.656
_cell_length_b 21.656
_cell_length_c 21.656
_cell_angle_alpha 90.00
_cell_angle_beta 90.00
_cell_angle_gamma 90.00
_space_group_name_H-M_alt 'I a -3 d'
_space_group_IT_number 230
_space_group_name_Hall '-I 4bd 2c 3'
loop_
_atom_site_label
_atom_site_type_symbol
_atom_site_fract_x
_atom_site_fract_y
_atom_site_fract_z
Rb1 Rb 0.020 0.067 0.652
In1 In 0.000 0.250 0.125
Ag1 Ag 0.000 0.000 0.000
Ag2 Ag 0.000 0.250 0.375
```

## Properties
ΔE_f = 18.5 kJ/mol of atoms
energy = -1.513 eV per atom
total magnetic moment = 5.441 μB/f.u.
crystal system = cubic

Record 5
## NdIn3Cu3 (PBE)

Data for an optimized crystal structure of NdIn3Cu3.

CIF file:
```
data_NdIn3Cu3
_chemical_formula_sum 'Nd2 In6 Cu6'
_cell_length_a 7.068
_cell_length_b 7.068
_cell_length_c 7.068
_cell_angle_alpha 90.00
_cell_angle_beta 90.00
_cell_angle_gamma 90.00
_space_group_name_H-M_alt 'P m -3 n'
_space_group_IT_number 223
_space_group_name_Hall '-P 4n 2 3'
loop_
_atom_site_label
_atom_site_type_symbol
_atom_site_fract_x
_atom_site_fract_y
_atom_site_fract_z
Nd1 Nd 0.000 0.000 0.000
In1 In 0.000 0.250 0.500
Cu1 Cu 0.000 0.500 0.250
```

## Properties
ΔE_f = 26.5 kJ/mol of atoms
energy = -3.335 eV per atom
total magnetic moment = 0.000 μB/f.u.
crystal system = cubic

Record 6
## Be2InRh2 (PBE)

Data for an optimized crystal structure of Be2InRh2.

CIF file:
```
data_Be2InRh2
_chemical_formula_sum 'Be4 In2 Rh4'
_cell_length_a 6.818
_cell_length_b 6.818
_cell_length_c 2.892
_cell_angle_alpha 90.00
_cell_angle_beta 90.00
_cell_angle_gamma 90.00
_space_group_name_H-M_alt 'P 4/m b m'
_space_group_IT_number 127
_space_group_name_Hall '-P 4 2ab'
loop_
_atom_site_label
_atom_site_type_symbol
_atom_site_fract_x
_atom_site_fract_y
_atom_site_fract_z
Be1 Be 0.136 0.364 0.000
In1 In 0.000 0.000 0.500
Rh1 Rh 0.148 0.648 0.500
```

## Properties
ΔE_f = -30.3 kJ/mol of atoms
energy = -5.293 eV per atom
total magnetic moment = 0.000 μB/f.u.
polymorph energy (0 for the lowest one) = 170.3 meV/atom
crystal system = tetragonal

Record 7
## Ca4Pu3GaN8 (PBE)

Data for an optimized crystal structure of Ca4Pu3GaN8.

CIF file:
```
data_Ca4Pu3GaN8
_chemical_formula_sum 'Ca8 Pu6 Ga2 N16'
_cell_length_a 11.854
_cell_length_b 6.829
_cell_length_c 6.898
_cell_angle_alpha 90.00
_cell_angle_beta 124.84
_cell_angle_gamma 90.00
_space_group_name_H-M_alt 'C 1 2/m 1'
_space_group_IT_number 12
loop_
_space_group_symop_operation_xyz
'x,y,z'
'-x,-y,-z'
'-x,y,-z'
'x,-y,z'
'x+1/2,y+1/2,z'
'-x+1/2,-y+1/2,-z'
'-x+1/2,y+1/2,-z'
'x+1/2,-y+1/2,z'
loop_
_atom_site_label
_atom_site_type_symbol
_atom_site_fract_x
_atom_site_fract_y
_atom_site_fract_z
Ca1 Ca 0.000 0.000 0.000
Ca2 Ca 0.000 0.500 0.000
Ca3 Ca 0.250 0.250 0.000
Pu1 Pu 0.000 0.000 0.500
Pu2 Pu 0.250 0.250 0.500
Ga1 Ga 0.000 0.500 0.500
N1 N 0.012 0.247 0.282
N2 N 0.240 0.000 0.719
N3 N 0.243 0.500 0.718
```

## Properties
raw formation energy = -0.9686 eV/atom
energy = -8.508 eV per atom
total magnetic moment = 11.000 μB/f.u.
crystal system = monoclinic

Record 8
## SmZn3PdAu (PBE)

Data for an optimized crystal structure of SmZn3PdAu.

CIF file:
```
data_SmZn3PdAu
_chemical_formula_sum 'Sm4 Zn12 Pd4 Au4'
_cell_length_a 8.171
_cell_length_b 11.178
_cell_length_c 5.502
_cell_angle_alpha 90.00
_cell_angle_beta 90.00
_cell_angle_gamma 90.00
_space_group_name_H-M_alt 'C m c m'
_space_group_IT_number 63
_space_group_name_Hall '-C 2c 2'
loop_
_atom_site_label
_atom_site_type_symbol
_atom_site_fract_x
_atom_site_fract_y
_atom_site_fract_z
Sm1 Sm 0.000 0.195 0.250
Zn1 Zn 0.000 0.333 0.750
Zn2 Zn 0.249 0.000 0.000
Pd1 Pd 0.000 0.440 0.250
Au1 Au 0.000 0.094 0.750
```

## Properties
ΔE_f = -31.8 kJ/mol of atoms
energy = -3.165 eV per atom
total magnetic moment = 0.000 μB/f.u.
crystal system = orthorhombic